Here is a relaxed structure of Th4GeAs2P from Alexandria via LeMat-Bulk. Energies are from PBE-GGA.

The value obtained for the formation energy is -10.268 eV/f.u. The value obtained for the uncorrected energy is -59.273 eV per cell. The calculation puts the total moment at 0.00 μB/f.u.

The space group is P2/m (No. 10) and the conventional cell measures 7.336, 4.235 and 7.360 Å, with angles of 90.00, 109.37 and 90.00 degrees. Symmetry generates all atoms from Th at (0.243, 0.000, 0.241), Th at (0.248, 0.500, 0.755), Ge at (0.500, 0.000, 0.000), As at (0.000, 0.000, 0.500), As at (0.500, 0.500, 0.500) and P at (0.000, 0.500, 0.000).